Density functional theory data (PBEsol) for an optimized crystal structure of BeTeHN2.

Summary:
As for the density: 5.3 g cm⁻³. As for the raw total energy: -3.6653 eV/atom. Its magnetic moment is 0.000 μB per atom.

The structure in CIF format:
```
data_BeTeHN2
_symmetry_space_group_name_H-M 'P 4/m m m'
_symmetry_Int_Tables_number 123
_symmetry_space_group_name_Hall '-P 4 2'
_cell_length_a 3.9155
_cell_length_b 3.9155
_cell_length_c 3.3671
_cell_angle_alpha 90.00
_cell_angle_beta 90.00
_cell_angle_gamma 90.00
loop_
_atom_site_label
_atom_site_type_symbol
_atom_site_fract_x
_atom_site_fract_y
_atom_site_fract_z
Be1 Be 0.0000 0.0000 0.0000
Te1 Te 0.5000 0.5000 0.0000
H1 H 0.5000 0.5000 0.5000
N1 N 0.0000 0.5000 0.5000
```

Density functional theory data (PBEsol) for an optimized crystal structure of NaBeH3.

Summary:
As for the density: 1.2 g cm⁻³. As for the raw total energy: -1.9208 eV/atom. Its magnetic moment is 0.000 μB per atom.

The structure in CIF format:
```
data_NaBeH3
_symmetry_space_group_name_H-M 'P m -3 m'
_symmetry_Int_Tables_number 221
_symmetry_space_group_name_Hall '-P 4 2 3'
_cell_length_a 3.6593
_cell_length_b 3.6593
_cell_length_c 3.6593
_cell_angle_alpha 90.00
_cell_angle_beta 90.00
_cell_angle_gamma 90.00
loop_
_atom_site_label
_atom_site_type_symbol
_atom_site_fract_x
_atom_site_fract_y
_atom_site_fract_z
Na1 Na 0.0000 0.0000 0.0000
Be1 Be 0.5000 0.5000 0.5000
H1 H 0.0000 0.0000 0.5000
```

Density functional theory data (PBEsol) for an optimized crystal structure of Na2BeH4.

Summary:
As for the density: 1.3 g cm⁻³. As for the raw total energy: -3.0723 eV/atom. Its magnetic moment is 0.000 μB per atom.

The structure in CIF format:
```
data_Na2BeH4
_symmetry_space_group_name_H-M 'P 1 21/m 1'
_symmetry_Int_Tables_number 11
_symmetry_space_group_name_Hall '-P 2yb'
_cell_length_a 4.9496
_cell_length_b 4.8776
_cell_length_c 6.6190
_cell_angle_alpha 90.00
_cell_angle_beta 102.93
_cell_angle_gamma 90.00
loop_
_atom_site_label
_atom_site_type_symbol
_atom_site_fract_x
_atom_site_fract_y
_atom_site_fract_z
Na1 Na 0.2231 0.2500 0.0316
Na2 Na 0.2635 0.2500 0.5469
Be1 Be 0.2106 0.7500 0.7824
H1 H 0.0320 0.5165 0.7343
H2 H 0.3242 0.7500 0.0030
H3 H 0.4207 0.7500 0.6605
```

Density functional theory data (PBEsol) for an optimized crystal structure of NaBeSn2H.

Summary:
As for the density: 5.1 g cm⁻³. As for the raw total energy: -3.0528 eV/atom. Its magnetic moment is 0.000 μB per atom.

The structure in CIF format:
```
data_NaBeSn2H
_symmetry_space_group_name_H-M 'P 4/m m m'
_symmetry_Int_Tables_number 123
_symmetry_space_group_name_Hall '-P 4 2'
_cell_length_a 4.5758
_cell_length_b 4.5758
_cell_length_c 4.2013
_cell_angle_alpha 90.00
_cell_angle_beta 90.00
_cell_angle_gamma 90.00
loop_
_atom_site_label
_atom_site_type_symbol
_atom_site_fract_x
_atom_site_fract_y
_atom_site_fract_z
Na1 Na 0.0000 0.0000 0.0000
Be1 Be 0.5000 0.5000 0.0000
Sn1 Sn 0.0000 0.5000 0.5000
H1 H 0.0000 0.0000 0.5000
```

What did the first record say?
Density functional theory data (PBEsol) for an optimized crystal structure of BeTeHN2.

Summary:
As for the density: 5.3 g cm⁻³. As for the raw total energy: -3.6653 eV/atom. Its magnetic moment is 0.000 μB per atom.

The structure in CIF format:
```
data_BeTeHN2
_symmetry_space_group_name_H-M 'P 4/m m m'
_symmetry_Int_Tables_number 123
_symmetry_space_group_name_Hall '-P 4 2'
_cell_length_a 3.9155
_cell_length_b 3.9155
_cell_length_c 3.3671
_cell_angle_alpha 90.00
_cell_angle_beta 90.00
_cell_angle_gamma 90.00
loop_
_atom_site_label
_atom_site_type_symbol
_atom_site_fract_x
_atom_site_fract_y
_atom_site_fract_z
Be1 Be 0.0000 0.0000 0.0000
Te1 Te 0.5000 0.5000 0.0000
H1 H 0.5000 0.5000 0.5000
N1 N 0.0000 0.5000 0.5000
```

- Which value of raw total energy does entry 3 give?
  -3.0723 eV/atom

- Which formula does entry 3 have?
  Na2BeH4